A relaxed structure of ZrTiZn4O8. Source: the Alexandria database, functional PBE.

Its symmetry is No. 12. For the calculated volume, the calculation gives 165 Å³/cell. The value obtained for the density of states at the Fermi level is 0.00 states/eV per atom. The crystal system is monoclinic. The energy relative to the elements, uncorrected comes out at -2.1054 eV per atom.

Cell lengths 6.1710, 6.1710, 6.2078 Å; angles 60.06, 60.06, 58.48 degrees
Closest atoms and distances in Å follow each position.
Positions (direct):
1 Zr 0.0000 0.0000 0.5000  6 O 2.10-2.13
2 Ti 0.0000 0.0000 0.0000  6 O 1.98-2.02
3 Zn 0.6395 0.6395 0.1053  4 O 1.99-2.04
4 Zn 0.3605 0.3605 0.8947  4 O 1.99-2.04
5 Zn 0.5000 0.0000 0.5000  6 O 2.07-2.25
6 Zn 0.0000 0.5000 0.5000  6 O 2.07-2.25
7 O 0.2378 0.2378 0.2847  3 Zn 1.99-2.07, 1 Zr 2.10
8 O 0.7689 0.2238 0.7654  1 Ti 2.02, 2 Zn 2.04-2.25, 1 Zr 2.13
9 O 0.2311 0.7762 0.2346  1 Ti 2.02, 2 Zn 2.04-2.25, 1 Zr 2.13
10 O 0.7622 0.7622 0.7153  3 Zn 1.99-2.07, 1 Zr 2.10
11 O 0.2243 0.2243 0.7661  1 Ti 1.98, 3 Zn 2.03-2.13
12 O 0.2238 0.7689 0.7654  1 Ti 2.02, 2 Zn 2.04-2.25, 1 Zr 2.13
13 O 0.7762 0.2311 0.2346  1 Ti 2.02, 2 Zn 2.04-2.25, 1 Zr 2.13
14 O 0.7757 0.7757 0.2339  1 Ti 1.98, 3 Zn 2.03-2.13